# LiMoWO2 | Alexandria via LeMat-Bulk | PBE with a Hubbard U | relaxed
data_LiMoWO2
_cell_length_a 3.909
_cell_length_b 3.909
_cell_length_c 5.865
_cell_angle_alpha 90.00
_cell_angle_beta 90.00
_cell_angle_gamma 90.00
_symmetry_space_group_name_H-M 'P 4/m m m'
_symmetry_Int_Tables_number 123
_symmetry_space_group_name_Hall '-P 4 2'
loop_
_atom_site_label
_atom_site_type_symbol
_atom_site_fract_x
_atom_site_fract_y
_atom_site_fract_z
Li1 Li 0.000 0.000 0.000
Mo1 Mo 0.500 0.500 0.000
W1 W 0.000 0.000 0.500
O1 O 0.000 0.500 0.500
# Final energy, eV per atom: -5.435